# Rb3ErCr2O8

Rb3ErCr2O8 after structural relaxation (PBE with a Hubbard U, Alexandria).

Output
**Calculated volume**: 17.9 Å³ per atom
**Calculated density**: 4.356 g cm⁻³
**Calculated total energy**: -6.392 eV per atom

The structure in extended XYZ format:
```
14
Lattice="6.018 0.000 0.000 -3.009 5.212 0.000 0.000 0.000 7.968" Properties=species:S:1:pos:R:3 pbc="T T T"
Rb 0.000 0.000 0.000
Rb 0.000 3.474 5.583
Rb 3.009 1.737 2.385
Er 0.000 0.000 3.984
Cr 0.000 3.474 2.068
Cr 3.009 1.737 5.901
O 0.000 1.831 2.685
O -1.423 4.296 2.685
O 0.000 3.474 0.399
O 1.586 0.915 5.283
O 1.423 4.296 2.685
O 3.009 1.737 7.569
O 4.432 0.915 5.283
O 3.009 3.381 5.283
```